Entry 1:
Compound: MgBPH6O8
Source: Alexandria
Functional: meta-GGA SCAN
Structure: single point on PBEsol structure

Values from the calculation:
Energy: -752.65 eV/cell

a = 9.7335 Å, b = 9.7335 Å, c = 9.7335 Å
α = 99.42°, β = 99.42°, γ = 99.42°
With the nearest neighbours (Å) after each atom.
Sites, in units of the cell vectors:
Mg  0.2494  0.7500  0.2506  6 O 2.02-2.17
Mg  0.2500  0.7494  0.7506  6 O 2.02-2.17
Mg  0.2506  0.2494  0.7500  6 O 2.02-2.17
Mg  0.7494  0.7506  0.2500  6 O 2.02-2.17
Mg  0.7500  0.2506  0.2494  6 O 2.02-2.17
Mg  0.7506  0.2500  0.7494  6 O 2.02-2.17
B  0.0571  0.2500  0.4429  4 O 1.45-1.50
B  0.2500  0.4429  0.0571  4 O 1.45-1.50
B  0.4429  0.0571  0.2500  4 O 1.45-1.50
B  0.5571  0.9429  0.7500  4 O 1.45-1.50
B  0.7500  0.5571  0.9429  4 O 1.45-1.50
B  0.9429  0.7500  0.5571  4 O 1.45-1.50
P  0.0592  0.4408  0.2500  4 O 1.52-1.57
P  0.2500  0.0592  0.4408  4 O 1.52-1.57
P  0.4408  0.2500  0.0592  4 O 1.52-1.57
P  0.5592  0.7500  0.9408  4 O 1.52-1.57
P  0.7500  0.9408  0.5592  4 O 1.52-1.57
P  0.9408  0.5592  0.7500  4 O 1.52-1.57
H  0.0161  0.8428  0.1360  1 O 1.03
H  0.0193  0.7073  0.0226  1 O 1.00
H  0.0226  0.0193  0.7073  1 O 1.00
H  0.0235  0.3325  0.6362  1 O 1.01
H  0.1360  0.0161  0.8428  1 O 1.03
H  0.1362  0.8325  0.5235  1 O 1.01
H  0.1572  0.8640  0.9839  1 O 1.03
H  0.1675  0.4765  0.8638  1 O 1.01
H  0.2073  0.5193  0.5226  1 O 1.00
H  0.2927  0.9774  0.9807  1 O 1.00
H  0.3325  0.6362  0.0235  1 O 1.01
H  0.3428  0.5161  0.6360  1 O 1.03
H  0.3640  0.6572  0.4839  1 O 1.03
H  0.3638  0.9765  0.6675  1 O 1.01
H  0.4765  0.8638  0.1675  1 O 1.01
H  0.4774  0.7927  0.4807  1 O 1.00
H  0.4807  0.4774  0.7927  1 O 1.00
H  0.4839  0.3640  0.6572  1 O 1.03
H  0.5161  0.6360  0.3428  1 O 1.03
H  0.5193  0.5226  0.2073  1 O 1.00
H  0.5226  0.2073  0.5193  1 O 1.00
H  0.5235  0.1362  0.8325  1 O 1.01
H  0.6362  0.0235  0.3325  1 O 1.01
H  0.6360  0.3428  0.5161  1 O 1.03
H  0.6572  0.4839  0.3640  1 O 1.03
H  0.6675  0.3638  0.9765  1 O 1.01
H  0.7073  0.0226  0.0193  1 O 1.00
H  0.7927  0.4807  0.4774  1 O 1.00
H  0.8325  0.5235  0.1362  1 O 1.01
H  0.8428  0.1360  0.0161  1 O 1.03
H  0.8638  0.1675  0.4765  1 O 1.01
H  0.8640  0.9839  0.1572  1 O 1.03
H  0.9765  0.6675  0.3638  1 O 1.01
H  0.9774  0.9807  0.2927  1 O 1.00
H  0.9807  0.2927  0.9774  1 O 1.00
H  0.9839  0.1572  0.8640  1 O 1.03
O  0.0845  0.7886  0.0902  2 H 1.00-1.03
O  0.0902  0.0845  0.7886  2 H 1.00-1.03
O  0.0964  0.7909  0.6003  1 H 1.01
O  0.1003  0.2909  0.5964  1 H 1.01
O  0.1008  0.6056  0.8004  1 P 1.52, 1 H 1.67
O  0.1056  0.6008  0.3004  1 P 1.52, 1 H 1.67
O  0.1130  0.3727  0.3789  1 B 1.50, 1 P 1.57
O  0.1211  0.1273  0.3870  1 B 1.50, 1 P 1.57
O  0.1273  0.3870  0.1211  1 B 1.50, 1 P 1.57
O  0.1996  0.8992  0.3944  1 P 1.52, 1 H 1.67
O  0.2091  0.3997  0.9036  1 H 1.01
O  0.2114  0.9098  0.9155  2 H 1.00-1.03
O  0.2886  0.5845  0.5902  2 H 1.00-1.03
O  0.2909  0.5964  0.1003  1 H 1.01
O  0.3004  0.1056  0.6008  1 P 1.52, 1 H 1.67
O  0.3727  0.3789  0.1130  1 B 1.50, 1 P 1.57
O  0.3789  0.1130  0.3727  1 B 1.50, 1 P 1.57
O  0.3870  0.1211  0.1273  1 B 1.50, 1 P 1.57
O  0.3944  0.1996  0.8992  1 P 1.52, 1 H 1.67
O  0.3992  0.6996  0.8944  1 P 1.52, 1 H 1.67
O  0.3997  0.9036  0.2091  1 H 1.01
O  0.4036  0.8997  0.7091  1 H 1.01
O  0.4098  0.7114  0.4155  2 H 1.00-1.03
O  0.4155  0.4098  0.7114  2 H 1.00-1.03
O  0.5845  0.5902  0.2886  2 H 1.00-1.03
O  0.5902  0.2886  0.5845  2 H 1.00-1.03
O  0.5964  0.1003  0.2909  1 H 1.01
O  0.6003  0.0964  0.7909  1 H 1.01
O  0.6008  0.3004  0.1056  1 P 1.52, 1 H 1.67
O  0.6056  0.8004  0.1008  1 P 1.52, 1 H 1.67
O  0.6130  0.8789  0.8727  1 B 1.50, 1 P 1.57
O  0.6211  0.8870  0.6273  1 B 1.50, 1 P 1.57
O  0.6273  0.6211  0.8870  1 B 1.50, 1 P 1.57
O  0.6996  0.8944  0.3992  1 P 1.52, 1 H 1.67
O  0.7091  0.4036  0.8997  1 H 1.01
O  0.7114  0.4155  0.4098  2 H 1.00-1.03
O  0.7886  0.0902  0.0845  2 H 1.00-1.03
O  0.7909  0.6003  0.0964  1 H 1.01
O  0.8004  0.1008  0.6056  1 P 1.52, 1 H 1.67
O  0.8727  0.6130  0.8789  1 B 1.50, 1 P 1.57
O  0.8789  0.8727  0.6130  1 B 1.50, 1 P 1.57
O  0.8870  0.6273  0.6211  1 B 1.50, 1 P 1.57
O  0.8944  0.3992  0.6996  1 P 1.52, 1 H 1.67
O  0.8992  0.3944  0.1996  1 P 1.52, 1 H 1.67
O  0.8997  0.7091  0.4036  1 H 1.01
O  0.9036  0.2091  0.3997  1 H 1.01
O  0.9098  0.9155  0.2114  2 H 1.00-1.03
O  0.9155  0.2114  0.9098  2 H 1.00-1.03

---

Entry 2:
Compound: Mg3B2P2H18O20
Source: Alexandria
Functional: meta-GGA SCAN
Structure: single point on PBEsol structure

Values from the calculation:
Energy: -317.93 eV/cell

a = 6.2545 Å, b = 6.2740 Å, c = 9.6679 Å
α = 83.65°, β = 84.14°, γ = 72.77°
With the nearest neighbours (Å) after each atom.
Sites, in units of the cell vectors:
Mg  0.0000  0.0000  0.0000  4 O 2.01-2.04
Mg  0.3181  0.3293  0.3347  6 O 2.04-2.13
Mg  0.6819  0.6707  0.6653  6 O 2.04-2.13
B  0.2416  0.8657  0.2857  4 O 1.44-1.51
B  0.7584  0.1343  0.7143  4 O 1.44-1.51
P  0.1389  0.7565  0.7189  4 O 1.52-1.57
P  0.8611  0.2435  0.2811  4 O 1.52-1.57
H  0.1400  0.3463  0.8486  1 O 1.00
H  0.1417  0.1476  0.5723  1 O 1.01
H  0.1560  0.3849  0.6032  1 O 1.02
H  0.2930  0.6708  0.1227  1 O 1.00
H  0.3187  0.6736  0.4678  1 O 1.01
H  0.3234  0.3314  0.0463  1 O 1.00
H  0.3547  0.1352  0.8553  1 O 1.00
H  0.4415  0.6693  0.8939  1 O 1.02
H  0.4720  0.1033  0.6365  1 O 1.00
H  0.5280  0.8967  0.3635  1 O 1.00
H  0.5585  0.3307  0.1061  1 O 1.02
H  0.6453  0.8648  0.1447  1 O 1.00
H  0.6766  0.6686  0.9537  1 O 1.00
H  0.6813  0.3264  0.5322  1 O 1.01
H  0.7070  0.3292  0.8773  1 O 1.00
H  0.8440  0.6151  0.3968  1 O 1.02
H  0.8583  0.8524  0.4277  1 O 1.01
H  0.8600  0.6537  0.1514  1 O 1.00
O  0.0170  0.0123  0.3407  1 B 1.51, 1 P 1.57
O  0.0210  0.5737  0.7100  1 P 1.55, 1 H 1.64
O  0.1791  0.7690  0.8715  1 P 1.54, 1 H 1.60
O  0.2211  0.2186  0.9131  2 H 1.00
O  0.2272  0.8329  0.1404  1 H 1.00
O  0.2369  0.2522  0.5476  2 H 1.01-1.02
O  0.2841  0.6555  0.3707  1 H 1.01
O  0.3558  0.7170  0.6250  1 P 1.52, 1 H 1.62
O  0.3883  0.3922  0.1183  2 H 1.00-1.02
O  0.4124  0.9837  0.2979  1 H 1.00
O  0.5876  0.0163  0.7021  1 H 1.00
O  0.6117  0.6078  0.8817  2 H 1.00-1.02
O  0.6442  0.2830  0.3750  1 P 1.52, 1 H 1.62
O  0.7159  0.3445  0.6293  1 H 1.01
O  0.7631  0.7478  0.4524  2 H 1.01-1.02
O  0.7728  0.1671  0.8596  1 H 1.00
O  0.7789  0.7814  0.0869  2 H 1.00
O  0.8209  0.2310  0.1285  1 P 1.54, 1 H 1.60
O  0.9790  0.4263  0.2900  1 P 1.55, 1 H 1.64
O  0.9830  0.9877  0.6593  1 B 1.51, 1 P 1.57

---

Entry 3:
Compound: MgB2P2H8O13
Source: Alexandria
Functional: meta-GGA SCAN
Structure: single point on PBEsol structure

Values from the calculation:
Energy: -798.72 eV/cell

a = 7.6813 Å, b = 14.6822 Å, c = 8.1488 Å
α = 90.00°, β = 90.75°, γ = 90.00°
With the nearest neighbours (Å) after each atom.
Sites, in units of the cell vectors:
Mg  0.2477  0.0376  0.2915  6 O 2.03-2.21
Mg  0.2477  0.4624  0.7915  6 O 2.03-2.21
Mg  0.7523  0.5376  0.2085  6 O 2.03-2.21
Mg  0.7523  0.9624  0.7085  6 O 2.03-2.21
B  0.0855  0.2168  0.4364  4 O 1.45-1.50
B  0.0855  0.2832  0.9364  4 O 1.45-1.50
B  0.4149  0.6614  0.7737  4 O 1.44-1.49
B  0.4149  0.8386  0.2737  4 O 1.44-1.49
B  0.5851  0.1614  0.7263  4 O 1.44-1.49
B  0.5851  0.3386  0.2263  4 O 1.44-1.49
B  0.9145  0.7168  0.0636  4 O 1.45-1.50
B  0.9145  0.7832  0.5636  4 O 1.45-1.50
P  0.0614  0.6585  0.7747  4 O 1.51-1.55
P  0.0614  0.8415  0.2747  4 O 1.51-1.55
P  0.4369  0.2125  0.4297  4 O 1.52-1.55
P  0.4369  0.2875  0.9297  4 O 1.52-1.55
P  0.5631  0.7125  0.0703  4 O 1.52-1.55
P  0.5631  0.7875  0.5703  4 O 1.52-1.55
P  0.9386  0.1585  0.7253  4 O 1.51-1.55
P  0.9386  0.3415  0.2253  4 O 1.51-1.55
H  0.0483  0.6343  0.2338  1 O 1.00
H  0.0483  0.8657  0.7338  1 O 1.00
H  0.1461  0.0280  0.6155  1 O 1.02
H  0.1461  0.4720  0.1155  1 O 1.02
H  0.1896  0.0930  0.9771  1 O 0.98
H  0.1896  0.4070  0.4771  1 O 0.98
H  0.2360  0.6625  0.4300  1 O 0.99
H  0.2360  0.8375  0.9300  1 O 0.99
H  0.2369  0.5134  0.4686  1 O 1.00
H  0.2369  0.9866  0.9686  1 O 1.00
H  0.2790  0.5517  0.0684  1 O 0.98
H  0.2790  0.9483  0.5684  1 O 0.98
H  0.3588  0.6195  0.2985  1 O 1.01
H  0.3588  0.8805  0.7985  1 O 1.01
H  0.4486  0.0474  0.6585  1 O 1.00
H  0.4486  0.4526  0.1585  1 O 1.00
H  0.5514  0.5474  0.8415  1 O 1.00
H  0.5514  0.9526  0.3415  1 O 1.00
H  0.6412  0.1195  0.2015  1 O 1.01
H  0.6412  0.3805  0.7015  1 O 1.01
H  0.7210  0.0517  0.4316  1 O 0.98
H  0.7210  0.4483  0.9316  1 O 0.98
H  0.7631  0.0134  0.0314  1 O 1.00
H  0.7631  0.4866  0.5314  1 O 1.00
H  0.7640  0.1625  0.0700  1 O 0.99
H  0.7640  0.3375  0.5700  1 O 0.99
H  0.8104  0.5930  0.5229  1 O 0.98
H  0.8104  0.9070  0.0229  1 O 0.98
H  0.8539  0.5280  0.8845  1 O 1.02
H  0.8539  0.9720  0.3845  1 O 1.02
H  0.9517  0.1343  0.2662  1 O 1.00
H  0.9517  0.3657  0.7662  1 O 1.00
O  0.0377  0.5576  0.8046  1 P 1.51, 1 H 1.62
O  0.0377  0.9424  0.3046  1 P 1.51, 1 H 1.62
O  0.0472  0.7167  0.9330  1 B 1.48, 1 P 1.55
O  0.0472  0.7833  0.4330  1 B 1.48, 1 P 1.55
O  0.0665  0.1409  0.3246  1 H 1.00
O  0.0665  0.3591  0.8246  1 H 1.00
O  0.0718  0.1914  0.8573  1 B 1.50, 1 P 1.55
O  0.0718  0.3086  0.3573  1 B 1.50, 1 P 1.55
O  0.2309  0.0409  0.0426  2 H 0.98-1.00
O  0.2309  0.4591  0.5426  2 H 0.98-1.00
O  0.2417  0.6119  0.3506  2 H 0.99-1.01
O  0.2422  0.6808  0.7011  1 B 1.47, 1 P 1.55
O  0.2422  0.8192  0.2011  1 B 1.47, 1 P 1.55
O  0.2417  0.8881  0.8506  2 H 0.99-1.01
O  0.2572  0.2133  0.5152  1 B 1.46, 1 P 1.55
O  0.2572  0.2867  0.0152  1 B 1.46, 1 P 1.55
O  0.2604  0.0141  0.5589  2 H 0.98-1.02
O  0.2604  0.4859  0.0589  2 H 0.98-1.02
O  0.4246  0.7134  0.9305  1 B 1.49, 1 P 1.55
O  0.4246  0.7866  0.4305  1 B 1.49, 1 P 1.55
O  0.4338  0.5648  0.7970  1 H 1.00
O  0.4338  0.9352  0.2970  1 H 1.00
O  0.4538  0.1955  0.8394  1 B 1.46, 1 P 1.54
O  0.4538  0.3045  0.3394  1 B 1.46, 1 P 1.54
O  0.4553  0.1297  0.3188  1 P 1.52
O  0.4553  0.3703  0.8188  1 P 1.52
O  0.5447  0.6297  0.1812  1 P 1.52
O  0.5447  0.8703  0.6812  1 P 1.52
O  0.5462  0.6955  0.6606  1 B 1.46, 1 P 1.54
O  0.5462  0.8045  0.1606  1 B 1.46, 1 P 1.54
O  0.5662  0.0648  0.7030  1 H 1.00
O  0.5662  0.4352  0.2030  1 H 1.00
O  0.5754  0.2134  0.5695  1 B 1.49, 1 P 1.55
O  0.5754  0.2866  0.0695  1 B 1.49, 1 P 1.55
O  0.7396  0.5141  0.9411  2 H 0.98-1.02
O  0.7396  0.9859  0.4411  2 H 0.98-1.02
O  0.7428  0.7133  0.9848  1 B 1.46, 1 P 1.55
O  0.7428  0.7867  0.4848  1 B 1.46, 1 P 1.55
O  0.7583  0.1119  0.1494  2 H 0.99-1.01
O  0.7578  0.1808  0.7989  1 B 1.47, 1 P 1.55
O  0.7578  0.3192  0.2989  1 B 1.47, 1 P 1.55
O  0.7583  0.3881  0.6494  2 H 0.99-1.01
O  0.7691  0.5409  0.4574  2 H 0.98-1.00
O  0.7691  0.9591  0.9574  2 H 0.98-1.00
O  0.9282  0.6914  0.6427  1 B 1.50, 1 P 1.55
O  0.9282  0.8086  0.1427  1 B 1.50, 1 P 1.55
O  0.9335  0.6409  0.1754  1 H 1.00
O  0.9335  0.8591  0.6754  1 H 1.00
O  0.9528  0.2167  0.5670  1 B 1.48, 1 P 1.55
O  0.9528  0.2833  0.0670  1 B 1.48, 1 P 1.55
O  0.9623  0.0576  0.6954  1 P 1.51, 1 H 1.62
O  0.9623  0.4424  0.1954  1 P 1.51, 1 H 1.62

---

Entry 4:
Compound: MgBH2Ru
Source: Alexandria
Functional: meta-GGA SCAN
Structure: single point on PBEsol structure

Values from the calculation:
Energy: -50.76 eV/cell

a = 3.1153 Å, b = 3.1153 Å, c = 6.0814 Å
α = 90.00°, β = 90.00°, γ = 90.00°
With the nearest neighbours (Å) after each atom.
Sites, in units of the cell vectors:
Mg  0.0000  0.0000  0.0000  4 H 1.56
B  0.5000  0.5000  0.5000  4 Ru 2.20
H  0.0000  0.5000  0.0000  2 Mg 1.56
H  0.5000  0.0000  0.0000  2 Mg 1.56
Ru  0.0000  0.0000  0.5000  4 B 2.20